A geometry-optimized HfNbIn2 structure, computed with GGA-PBE.

a = 3.7201 Å, b = 3.7201 Å, c = 6.0318 Å
α = 90.00°, β = 90.00°, γ = 90.00°
Closest atoms and distances in Å follow each position.
Space group P4/mmm (No. 123)
One atom of each set of equivalent atoms:
Hf 0.0000 0.0000 0.0000 (multiplicity 1)  2 Nb 3.02, 8 In 3.06
Nb 0.0000 0.0000 0.5000 (multiplicity 1)  8 In 3.01, 2 Hf 3.02
In 0.5000 0.5000 0.2578 (multiplicity 2)  2 In 2.92-3.11, 4 Nb 3.01, 4 Hf 3.06

Computed properties:
D(E_F) = 0.84 states/eV per atom
offset from the most stable computed form = 145.3 meV per atom
ΔH_f (0 K) = 0.075 eV/atom